An optimized crystal structure of ReAg3, computed with PBE.

Structure (extended XYZ):
```
4
Lattice="-1.6761 1.7418 -4.3132 1.7409 -2.9775 -3.5426 -2.4232 -1.0729 4.1741" Properties=species:S:1:pos:R:3 pbc="T T T"
Ag -2.0334 0.0255 -2.0335
Ag 0.0324 -0.6179 -3.9279
Ag 0.0000 0.0000 0.0000
Re -0.3249 -2.3342 -1.6482
```

Size of the total moment = 2.132 μB/cell
Formation enthalpy at 0 K = 884 meV/atom
ρ = 12327 kg/m3
Energy relative to the lowest polymorph listed for this composition = 496.2 meV/atom